Density functional theory data (PBE-GGA) for ErTmTh2Sc5 after structural relaxation.

Computed properties:
As for the space group: I4/mcm, No. 140.

Lattice parameters (Å, degrees): 8.389 8.389 9.347 116.66 116.66 90.00
Element x y z (fractional)
Sc 0.070 0.570 0.718
Sc 0.000 0.000 0.000
Sc 0.149 0.070 0.718
Th 0.376 0.876 0.000
Sc 0.649 0.149 0.718
Th 0.624 0.124 0.000
Th 0.876 0.624 0.000
Sc 0.851 0.930 0.282
Th 0.124 0.376 0.000
Sc 0.500 0.500 0.000
Sc 0.570 0.649 0.718
Sc 0.430 0.351 0.282
Tm 0.750 0.750 0.500
Sc 0.930 0.430 0.282
Tm 0.250 0.250 0.500
Er 0.250 0.750 0.500
Er 0.750 0.250 0.500
Sc 0.351 0.851 0.282



Density functional theory data (PBE-GGA) for Er2TmThSc after structural relaxation.

Computed properties:
As for the space group: Pmma, No. 51.

Lattice parameters (Å, degrees): 6.568 7.690 6.115 90.01 90.00 90.00
Element x y z (fractional)
Er 0.278 0.294 0.250
Tm 0.185 0.500 0.750
Th 0.592 0.000 0.250
Er 0.722 0.706 0.750
Th 0.408 0.000 0.750
Er 0.722 0.294 0.750
Tm 0.815 0.500 0.250
Sc 0.000 0.000 0.000
Er 0.278 0.706 0.250
Sc 0.000 0.000 0.500



Density functional theory data (PBE-GGA) for Er6Tm2ThSc3 after structural relaxation.

Computed properties:
As for the space group: C2/m, No. 12.

Lattice parameters (Å, degrees): 6.000 6.000 11.390 95.03 95.03 119.99
Element x y z (fractional)
Er 0.914 0.583 0.743
Tm 0.333 0.667 0.000
Th 0.000 0.000 0.000
Er 0.755 0.755 0.258
Sc 0.167 0.833 0.500
Er 0.417 0.086 0.257
Sc 0.500 0.500 0.500
Er 0.086 0.417 0.257
Sc 0.833 0.167 0.500
Er 0.245 0.245 0.742
Tm 0.667 0.333 0.000
Er 0.583 0.914 0.743



Density functional theory data (PBE-GGA) for ErTmThSc after structural relaxation.

Computed properties:
Its offset from the most stable computed form is 0.33 eV per formula unit. As for the space group: F-43m, No. 216.

Lattice parameters (Å, degrees): 5.505 5.505 5.505 60.00 60.00 60.00
Element x y z (fractional)
Sc 0.500 0.500 0.500
Er 0.750 0.750 0.750
Tm 0.000 0.000 0.000
Th 0.250 0.250 0.250



Density functional theory data (PBE-GGA) for Er5Tm2ThSc after structural relaxation.

Computed properties:
As for the space group: Cmc2_1, No. 36.

Lattice parameters (Å, degrees): 5.581 11.121 9.342 90.00 90.00 104.53
Element x y z (fractional)
Er 0.470 0.941 0.748
Th 0.401 0.803 0.426
Tm 0.133 0.267 0.710
Sc 0.810 0.619 0.515
Sc 0.190 0.381 0.015
Er 0.696 0.393 0.219
Er 0.987 0.975 0.515
Er 0.731 0.462 0.826
Er 0.605 0.210 0.544
Er 0.013 0.025 0.015
Er 0.269 0.538 0.326
Tm 0.115 0.231 0.321
Tm 0.885 0.769 0.821
Th 0.599 0.197 0.926
Er 0.304 0.607 0.719
Tm 0.867 0.733 0.210
Er 0.395 0.790 0.044
Er 0.530 0.059 0.248



Density functional theory data (PBE-GGA) for Er3Tm6ThSc2 after structural relaxation.

Computed properties:
As for the space group: C2/m, No. 12.

Lattice parameters (Å, degrees): 5.983 5.983 11.539 94.96 94.96 120.00
Element x y z (fractional)
Tm 0.584 0.917 0.753
Er 0.832 0.168 0.500
Tm 0.083 0.416 0.247
Th 0.000 0.000 0.000
Tm 0.250 0.250 0.753
Er 0.168 0.832 0.500
Tm 0.917 0.584 0.753
Tm 0.750 0.750 0.247
Sc 0.667 0.333 0.000
Sc 0.333 0.667 0.000
Tm 0.416 0.083 0.247
Er 0.500 0.500 0.500



Density functional theory data (PBE-GGA) for YErThSc after structural relaxation.

Computed properties:
Its offset from the most stable computed form is 0.00 eV per formula unit. As for the space group: R3m, No. 160.

Lattice parameters (Å, degrees): 3.534 3.534 11.260 90.00 99.03 120.00
Last column: magnetic moment on the atom in μB.
Element x y z (fractional)
Er 0.472 0.134 0.622  0.04
Th 0.307 0.551 0.874  0.00
Sc 0.134 0.965 0.114  0.04
Y 0.965 0.381 0.360  0.11



Density functional theory data (PBE-GGA) for Y6Er3Th2Sc after structural relaxation.

Computed properties:
As for the space group: C2/m, No. 12.

Lattice parameters (Å, degrees): 6.111 6.111 11.742 94.99 94.99 119.99
Element x y z (fractional)
Th 0.334 0.666 0.000
Y 0.415 0.082 0.247
Sc 0.000 0.000 0.000
Y 0.251 0.251 0.753
Y 0.585 0.918 0.753
Th 0.666 0.334 0.000
Y 0.082 0.415 0.247
Y 0.749 0.749 0.247
Er 0.500 0.500 0.500
Er 0.166 0.834 0.500
Y 0.918 0.585 0.753
Er 0.834 0.166 0.500



Density functional theory data (PBE-GGA) for YErThSc after structural relaxation.

Computed properties:
Its offset from the most stable computed form is 0.41 eV per formula unit. As for the space group: F-43m, No. 216.

Lattice parameters (Å, degrees): 5.538 5.538 5.538 60.00 60.00 60.00
Element x y z (fractional)
Th 0.000 0.000 0.000
Sc 0.250 0.250 0.250
Y 0.500 0.500 0.500
Er 0.750 0.750 0.750



Density functional theory data (PBE-GGA) for Y3Er6ThSc2 after structural relaxation.

Computed properties:
As for the space group: C2/m, No. 12.

Lattice parameters (Å, degrees): 6.031 6.031 11.634 94.96 94.96 120.00
Element x y z (fractional)
Sc 0.333 0.667 0.000
Y 0.168 0.832 0.500
Er 0.749 0.749 0.245
Er 0.918 0.586 0.755
Y 0.500 0.500 0.500
Y 0.832 0.168 0.500
Er 0.414 0.082 0.245
Sc 0.667 0.333 0.000
Er 0.586 0.918 0.755
Er 0.251 0.251 0.755
Th 0.000 0.000 0.000
Er 0.082 0.414 0.245



Density functional theory data (PBE-GGA) for YEr2ThSc4 after structural relaxation.

Computed properties:
As for the space group: P4/mmm, No. 123.

Lattice parameters (Å, degrees): 4.925 4.930 10.410 61.75 90.00 90.00
Element x y z (fractional)
Sc 0.000 0.753 0.747
Th 0.000 0.500 0.500
Sc 0.000 0.247 0.253
Sc 0.500 0.747 0.253
Er 0.500 0.000 0.500
Sc 0.500 0.253 0.747
Er 0.000 0.000 0.000
Y 0.500 0.500 0.000



E_form, respectively: 0.356, 0.307, 0.048, 0.101, 0.174, 0.037, 0.022, 0.033, 0.125, 0.041, 0.043 eV per atom.